1.
Compound: Cs12Au7F
Source: Alexandria
Functional: PBE-GGA
Structure: relaxed

The space group is R-3. The formation energy without anion corrections comes out at -9.56 eV/f.u. Its crystal system is trigonal.

Cell: 11.1135 11.1135 11.1135 Å, 110.24 110.24 110.24°
With the nearest neighbours (Å) after each atom.
Sites, in units of the cell vectors:
Cs 0.0199 0.3020 0.1710  1 F 3.12
Cs 0.1710 0.0199 0.3020  1 F 3.12
Cs 0.1931 0.3840 0.6858  3 Au 3.61-3.74
Cs 0.3020 0.1710 0.0199  1 F 3.12
Cs 0.3142 0.8069 0.6160  3 Au 3.61-3.74
Cs 0.3840 0.6858 0.1931  3 Au 3.61-3.74
Cs 0.6160 0.3142 0.8069  3 Au 3.61-3.74
Cs 0.6858 0.1931 0.3840  3 Au 3.61-3.74
Cs 0.6980 0.8290 0.9801  1 F 3.12
Cs 0.8069 0.6160 0.3142  3 Au 3.61-3.74
Cs 0.8290 0.9801 0.6980  1 F 3.12
Cs 0.9801 0.6980 0.8290  1 F 3.12
Au 0.0135 0.6171 0.1249  1 Au 2.91
Au 0.1249 0.0135 0.6171  1 Au 2.91
Au 0.3829 0.8751 0.9865  1 Au 2.91
Au 0.5000 0.5000 0.5000  12 Cs 4.42-4.61
Au 0.6171 0.1249 0.0135  1 Au 2.91
Au 0.8751 0.9865 0.3829  1 Au 2.91
Au 0.9865 0.3829 0.8751  1 Au 2.91
F 0.0000 0.0000 0.0000  6 Cs 3.12

2.
Compound: Cs3AuF
Source: Alexandria
Functional: PBE-GGA
Structure: relaxed

The space group is Ama2. The formation energy without anion corrections comes out at -5.72 eV/f.u. Its crystal system is orthorhombic.

Cell: 5.7228 12.0510 12.0510 Å, 140.82 90.00 90.00°
With the nearest neighbours (Å) after each atom.
Sites, in units of the cell vectors:
Cs 0.2500 0.0585 0.9415  3 F 2.95-3.09
Cs 0.2500 0.3309 0.5331  1 F 2.93
Cs 0.2500 0.7338 0.1322  1 F 3.06
Cs 0.7500 0.1322 0.7338  1 F 3.06
Cs 0.7500 0.5331 0.3309  1 F 2.93
Cs 0.7500 0.9415 0.0585  3 F 2.95-3.09
Au 0.2500 0.8342 0.5012  6 Cs 3.59-3.74
Au 0.7500 0.5012 0.8342  6 Cs 3.59-3.74
F 0.2500 0.0025 0.1520  5 Cs 2.93-3.09
F 0.7500 0.1520 0.0025  5 Cs 2.93-3.09

3.
Compound: Cs8Au2F
Source: Alexandria
Functional: PBE-GGA
Structure: relaxed

The space group is C2/m. The formation energy without anion corrections comes out at -6.37 eV/f.u. Its crystal system is monoclinic.

Cell: 9.8787 9.8787 9.3277 Å, 91.59 91.59 57.32°
With the nearest neighbours (Å) after each atom.
Sites, in units of the cell vectors:
Cs 0.1764 0.1764 0.6174  1 F 3.22
Cs 0.1930 0.7390 0.7348  1 F 3.14
Cs 0.2610 0.8070 0.2652  1 F 3.14
Cs 0.2865 0.2865 0.0998  1 Au 3.69
Cs 0.7135 0.7135 0.9002  1 Au 3.69
Cs 0.7390 0.1930 0.7348  1 F 3.14
Cs 0.8070 0.2610 0.2652  1 F 3.14
Cs 0.8236 0.8236 0.3826  1 F 3.22
Au 0.0837 0.0837 0.9682  1 Au 2.98
Au 0.9163 0.9163 0.0318  1 Au 2.98
F 0.0000 0.0000 0.5000  6 Cs 3.14-3.22

4.
Compound: Cs2AuF4
Source: Alexandria
Functional: PBE-GGA
Structure: relaxed

The space group is P2_1/m. The formation energy without anion corrections comes out at -13.25 eV/f.u. Its crystal system is monoclinic.

Cell: 7.8900 6.1437 7.9145 Å, 90.00 111.12 90.00°
With the nearest neighbours (Å) after each atom.
Sites, in units of the cell vectors:
Cs 0.0752 0.2500 0.3884  7 F 2.96-3.28
Cs 0.3867 0.7500 0.0748  7 F 2.96-3.28
Cs 0.6133 0.2500 0.9252  7 F 2.96-3.28
Cs 0.9248 0.7500 0.6116  7 F 2.96-3.28
Au 0.4247 0.7500 0.5760  2 F 2.01
Au 0.5753 0.2500 0.4240  2 F 2.01
F 0.2011 0.7500 0.3504  1 Au 2.01
F 0.2879 0.5042 0.7127  1 Au 2.34
F 0.2879 0.9958 0.7127  1 Au 2.34
F 0.3490 0.2500 0.2012  1 Au 2.01
F 0.6510 0.7500 0.7988  1 Au 2.01
F 0.7121 0.0042 0.2873  1 Au 2.34
F 0.7121 0.4958 0.2873  1 Au 2.34
F 0.7989 0.2500 0.6496  1 Au 2.01

5.
Compound: Cs4Au3F
Source: Alexandria
Functional: PBE-GGA
Structure: relaxed

The space group is Cmmm. The formation energy without anion corrections comes out at -6.84 eV/f.u. Its crystal system is orthorhombic.

Cell: 8.6938 8.6938 5.0296 Å, 90.00 90.00 109.00°
With the nearest neighbours (Å) after each atom.
Sites, in units of the cell vectors:
Cs 0.2190 0.7810 0.0000  1 F 3.10
Cs 0.2286 0.2286 0.5000  2 F 3.41, 4 Au 3.55-3.72
Cs 0.7714 0.7714 0.5000  2 F 3.41, 4 Au 3.55-3.72
Cs 0.7810 0.2190 0.0000  1 F 3.10
Au 0.0000 0.5000 0.5000  6 Cs 3.55-3.59
Au 0.5000 0.0000 0.5000  6 Cs 3.55-3.59
Au 0.5000 0.5000 0.0000  6 Cs 3.72-3.98
F 0.0000 0.0000 0.0000  6 Cs 3.10-3.41

6.
Compound: Cs5Au3F
Source: Alexandria
Functional: PBE-GGA
Structure: relaxed

The space group is I4/mcm. The formation energy without anion corrections comes out at -7.22 eV/f.u. Its crystal system is tetragonal.

Cell: 11.1164 11.1164 11.1164 Å, 129.78 129.78 73.75°
With the nearest neighbours (Å) after each atom.
Sites, in units of the cell vectors:
Cs 0.0000 0.0000 0.0000  4 Au 3.81
Cs 0.0142 0.5142 0.8252  1 F 2.82
Cs 0.1890 0.0142 0.5000  1 F 2.82
Cs 0.3110 0.8110 0.8252  1 F 2.82
Cs 0.4858 0.3110 0.5000  1 F 2.82
Cs 0.5000 0.5000 0.0000  4 Au 3.81
Cs 0.5142 0.6890 0.5000  1 F 2.82
Cs 0.6890 0.1890 0.1748  1 F 2.82
Cs 0.8110 0.9858 0.5000  1 F 2.82
Cs 0.9858 0.4858 0.1748  1 F 2.82
Au 0.1118 0.3882 0.5000  1 Au 2.98
Au 0.2500 0.2500 0.0000  8 Cs 3.97
Au 0.3882 0.8882 0.2764  1 Au 2.98
Au 0.6118 0.1118 0.7236  1 Au 2.98
Au 0.7500 0.7500 0.0000  8 Cs 3.97
Au 0.8882 0.6118 0.5000  1 Au 2.98
F 0.2500 0.7500 0.5000  4 Cs 2.82
F 0.7500 0.2500 0.5000  4 Cs 2.82

7.
Compound: CsAu2F8
Source: Alexandria
Functional: PBE-GGA
Structure: relaxed

The space group is P-3m1. The formation energy without anion corrections comes out at -10.44 eV/f.u. Its crystal system is trigonal.

Cell: 6.1747 6.1747 6.6098 Å, 90.00 90.00 120.00°
With the nearest neighbours (Å) after each atom.
Sites, in units of the cell vectors:
Cs 0.0000 0.0000 0.0000  6 F 3.00
Au 0.3333 0.6667 0.4595  4 F 1.98-2.06
Au 0.6667 0.3333 0.5405  4 F 1.98-2.06
F 0.1853 0.3706 0.6595  1 Au 2.06
F 0.1853 0.8147 0.6595  1 Au 2.06
F 0.3333 0.6667 0.1607  1 Au 1.98
F 0.3706 0.1853 0.3405  1 Au 2.06
F 0.6294 0.8147 0.6595  1 Au 2.06
F 0.6667 0.3333 0.8393  1 Au 1.98
F 0.8147 0.1853 0.3405  1 Au 2.06
F 0.8147 0.6294 0.3405  1 Au 2.06

8.
Compound: Cs7Au3F2
Source: Alexandria
Functional: PBE-GGA
Structure: relaxed

The space group is Cmmm. The formation energy without anion corrections comes out at -11.94 eV/f.u. Its crystal system is orthorhombic.

Cell: 18.6201 18.6201 5.6996 Å, 90.00 90.00 162.22°
With the nearest neighbours (Å) after each atom.
Sites, in units of the cell vectors:
Cs 0.0000 0.0000 0.0000  2 F 2.90
Cs 0.0900 0.9100 0.5000  2 F 2.88
Cs 0.1925 0.8075 0.0000  1 F 4.18, 4 Au 4.31
Cs 0.4111 0.5889 0.0000  2 F 2.90
Cs 0.5889 0.4111 0.0000  2 F 2.90
Cs 0.8075 0.1925 0.0000  1 F 4.18, 4 Au 4.31
Cs 0.9100 0.0900 0.5000  2 F 2.88
Au 0.3475 0.6525 0.5000  4 Cs 3.68-3.69
Au 0.5000 0.5000 0.5000  12 Cs 4.05-4.39
Au 0.6525 0.3475 0.5000  4 Cs 3.68-3.69
F 0.0788 0.9212 0.0000  5 Cs 2.88-2.90
F 0.9212 0.0788 0.0000  5 Cs 2.88-2.90

9.
Compound: Cs8Au6F
Source: Alexandria
Functional: PBE-GGA
Structure: relaxed

The space group is R-3. The formation energy without anion corrections comes out at -9.04 eV/f.u. Its crystal system is trigonal.

Cell: 9.1858 9.1858 9.1858 Å, 73.30 73.30 73.30°
With the nearest neighbours (Å) after each atom.
Sites, in units of the cell vectors:
Cs 0.1459 0.1459 0.1459  6 Au 3.56-3.58
Cs 0.1808 0.6529 0.3997  1 F 3.14
Cs 0.3471 0.6003 0.8192  1 F 3.14
Cs 0.3997 0.1808 0.6529  1 F 3.14
Cs 0.6003 0.8192 0.3471  1 F 3.14
Cs 0.6529 0.3997 0.1808  1 F 3.14
Cs 0.8192 0.3471 0.6003  1 F 3.14
Cs 0.8541 0.8541 0.8541  6 Au 3.56-3.58
Au 0.0162 0.4558 0.8402  1 Au 3.18, 1 Cs 3.56
Au 0.1598 0.9838 0.5442  1 Au 3.18, 1 Cs 3.56
Au 0.4558 0.8402 0.0162  1 Au 3.18, 1 Cs 3.56
Au 0.5442 0.1598 0.9838  1 Au 3.18, 1 Cs 3.56
Au 0.8402 0.0162 0.4558  1 Au 3.18, 1 Cs 3.56
Au 0.9838 0.5442 0.1598  1 Au 3.18, 1 Cs 3.56
F 0.5000 0.5000 0.5000  6 Cs 3.14

10.
Compound: Cs3Au5F12
Source: Alexandria
Functional: PBE-GGA
Structure: relaxed

The space group is Ia-3d. The formation energy without anion corrections comes out at -26.04 eV/f.u. Its crystal system is cubic.

Cell: 13.0613 13.0613 13.0613 Å, 109.47 109.47 109.47°
With the nearest neighbours (Å) after each atom.
Sites, in units of the cell vectors:
Cs 0.1250 0.2500 0.3750  8 F 3.01-3.15
Cs 0.1250 0.3750 0.7500  8 F 3.01-3.15
Cs 0.2500 0.3750 0.1250  8 F 3.01-3.15
Cs 0.2500 0.8750 0.6250  8 F 3.01-3.15
Cs 0.3750 0.1250 0.2500  8 F 3.01-3.15
Cs 0.3750 0.7500 0.1250  8 F 3.01-3.15
Cs 0.6250 0.2500 0.8750  8 F 3.01-3.15
Cs 0.6250 0.8750 0.7500  8 F 3.01-3.15
Cs 0.7500 0.1250 0.3750  8 F 3.01-3.15
Cs 0.7500 0.6250 0.8750  8 F 3.01-3.15
Cs 0.8750 0.6250 0.2500  8 F 3.01-3.15
Cs 0.8750 0.7500 0.6250  8 F 3.01-3.15
Au 0.0000 0.0000 0.0000  6 F 2.21
Au 0.0000 0.0000 0.5000  6 F 2.21
Au 0.0000 0.5000 0.0000  6 F 2.21
Au 0.0000 0.5000 0.5000  6 F 2.21
Au 0.1250 0.7500 0.8750  4 F 2.31
Au 0.1250 0.8750 0.2500  4 F 2.31
Au 0.2500 0.1250 0.8750  4 F 2.31
Au 0.2500 0.6250 0.3750  4 F 2.31
Au 0.3750 0.2500 0.6250  4 F 2.31
Au 0.3750 0.6250 0.7500  4 F 2.31
Au 0.5000 0.0000 0.0000  6 F 2.21
Au 0.5000 0.0000 0.5000  6 F 2.21
Au 0.5000 0.5000 0.0000  6 F 2.21
Au 0.5000 0.5000 0.5000  6 F 2.21
Au 0.6250 0.3750 0.2500  4 F 2.31
Au 0.6250 0.7500 0.3750  4 F 2.31
Au 0.7500 0.3750 0.6250  4 F 2.31
Au 0.7500 0.8750 0.1250  4 F 2.31
Au 0.8750 0.1250 0.7500  4 F 2.31
Au 0.8750 0.2500 0.1250  4 F 2.31
F 0.0111 0.1801 0.1031  2 Au 2.21-2.31
F 0.0111 0.3310 0.9080  2 Au 2.21-2.31
F 0.0770 0.6801 0.6690  2 Au 2.21-2.31
F 0.0770 0.8969 0.4080  2 Au 2.21-2.31
F 0.0920 0.6031 0.4230  2 Au 2.21-2.31
F 0.0920 0.9889 0.6690  2 Au 2.21-2.31
F 0.1031 0.0111 0.1801  2 Au 2.21-2.31
F 0.1031 0.5920 0.9230  2 Au 2.21-2.31
F 0.1690 0.1801 0.5770  2 Au 2.21-2.31
F 0.1690 0.4889 0.5920  2 Au 2.21-2.31
F 0.1801 0.1031 0.0111  2 Au 2.21-2.31
F 0.1801 0.5770 0.1690  2 Au 2.21-2.31
F 0.3199 0.3310 0.9230  2 Au 2.21-2.31
F 0.3199 0.4889 0.3969  2 Au 2.21-2.31
F 0.3310 0.9080 0.0111  2 Au 2.21-2.31
F 0.3310 0.9230 0.3199  2 Au 2.21-2.31
F 0.3969 0.3199 0.4889  2 Au 2.21-2.31
F 0.3969 0.5770 0.9080  2 Au 2.21-2.31
F 0.4080 0.0770 0.8969  2 Au 2.21-2.31
F 0.4080 0.8310 0.5111  2 Au 2.21-2.31
F 0.4230 0.0920 0.6031  2 Au 2.21-2.31
F 0.4230 0.8310 0.8199  2 Au 2.21-2.31
F 0.4889 0.3969 0.3199  2 Au 2.21-2.31
F 0.4889 0.5920 0.1690  2 Au 2.21-2.31
F 0.5111 0.4080 0.8310  2 Au 2.21-2.31
F 0.5111 0.6031 0.6801  2 Au 2.21-2.31
F 0.5770 0.1690 0.1801  2 Au 2.21-2.31
F 0.5770 0.9080 0.3969  2 Au 2.21-2.31
F 0.5920 0.1690 0.4889  2 Au 2.21-2.31
F 0.5920 0.9230 0.1031  2 Au 2.21-2.31
F 0.6031 0.4230 0.0920  2 Au 2.21-2.31
F 0.6031 0.6801 0.5111  2 Au 2.21-2.31
F 0.6690 0.0770 0.6801  2 Au 2.21-2.31
F 0.6690 0.0920 0.9889  2 Au 2.21-2.31
F 0.6801 0.5111 0.6031  2 Au 2.21-2.31
F 0.6801 0.6690 0.0770  2 Au 2.21-2.31
F 0.8199 0.4230 0.8310  2 Au 2.21-2.31
F 0.8199 0.8969 0.9889  2 Au 2.21-2.31
F 0.8310 0.5111 0.4080  2 Au 2.21-2.31
F 0.8310 0.8199 0.4230  2 Au 2.21-2.31
F 0.8969 0.4080 0.0770  2 Au 2.21-2.31
F 0.8969 0.9889 0.8199  2 Au 2.21-2.31
F 0.9080 0.0111 0.3310  2 Au 2.21-2.31
F 0.9080 0.3969 0.5770  2 Au 2.21-2.31
F 0.9230 0.1031 0.5920  2 Au 2.21-2.31
F 0.9230 0.3199 0.3310  2 Au 2.21-2.31
F 0.9889 0.6690 0.0920  2 Au 2.21-2.31
F 0.9889 0.8199 0.8969  2 Au 2.21-2.31

11.
Compound: CsAu3F
Source: Alexandria
Functional: PBE-GGA
Structure: relaxed

The space group is Pm-3m. The formation energy without anion corrections comes out at 0.76 eV/f.u. Its crystal system is cubic.

Cell: 5.0287 5.0287 5.0287 Å, 90.00 90.00 90.00°
With the nearest neighbours (Å) after each atom.
Sites, in units of the cell vectors:
Cs 0.0000 0.0000 0.0000  12 Au 3.56
Au 0.0000 0.5000 0.5000  2 F 2.51
Au 0.5000 0.0000 0.5000  2 F 2.51
Au 0.5000 0.5000 0.0000  2 F 2.51
F 0.5000 0.5000 0.5000  6 Au 2.51

12.
Compound: Cs4Au3F
Source: Alexandria
Functional: PBE-GGA
Structure: relaxed

The space group is Pmn2_1. The formation energy without anion corrections comes out at -6.98 eV/f.u. Its crystal system is orthorhombic.

Cell: 14.0947 7.3274 7.3257 Å, 90.00 90.00 90.00°
With the nearest neighbours (Å) after each atom.
Sites, in units of the cell vectors:
Cs 0.0000 0.1913 0.0000  1 F 2.86
Cs 0.0000 0.7502 0.5577  1 F 2.87
Cs 0.2125 0.7477 0.0015  1 F 3.05
Cs 0.2875 0.2523 0.5015  1 F 3.05
Cs 0.5000 0.2498 0.0577  1 F 2.87
Cs 0.5000 0.8087 0.5000  1 F 2.86
Cs 0.7125 0.2523 0.5015  1 F 3.05
Cs 0.7875 0.7477 0.0015  1 F 3.05
Au 0.0000 0.2513 0.4986  6 Cs 3.68-4.05
Au 0.2500 0.2507 0.9986  6 Cs 3.55-3.72
Au 0.2500 0.7493 0.4986  6 Cs 3.55-3.72
Au 0.5000 0.7487 0.9986  6 Cs 3.68-4.05
Au 0.7500 0.2507 0.9986  6 Cs 3.55-3.72
Au 0.7500 0.7493 0.4986  6 Cs 3.55-3.72
F 0.0000 0.8042 0.9451  4 Cs 2.86-3.05
F 0.5000 0.1958 0.4451  4 Cs 2.86-3.05

N(E_F) values (in states/eV/cell) by entry order: 11.8, 5.7, 6.3, 4.0, 0.0, 9.1, 4.7, 5.3, 6.3, 35.8, 3.7, 0.0.